VASP calculation (PBE) on Ac3ZnRh2 after structural relaxation.

Results
The calculation puts the total DFT energy (no corrections) at -5.271 eV/atom. The energy relative to the elements is -0.55 eV per atom. The calculated density is 9.4 g/cm3. The energy above the lowest structure with this stoichiometry is 0 meV/atom.

a = 12.3934 Å, b = 4.3375 Å, c = 12.5438 Å
α = 90.00°, β = 90.00°, γ = 90.00°
Fractional coordinates of all 24 atoms:
Ac1 0.0685 0.2500 0.1196
Ac2 0.1223 0.7500 0.5599
Ac3 0.1906 0.2500 0.8103
Ac4 0.3094 0.7500 0.3103
Ac5 0.3777 0.2500 0.0599
Ac6 0.4315 0.7500 0.6196
Ac7 0.5685 0.2500 0.3804
Ac8 0.6223 0.7500 0.9401
Ac9 0.6906 0.2500 0.6897
Ac10 0.8094 0.7500 0.1897
Ac11 0.8777 0.2500 0.4401
Ac12 0.9315 0.7500 0.8804
Zn1 0.1308 0.2500 0.3691
Zn2 0.3692 0.7500 0.8691
Zn3 0.6308 0.2500 0.1309
Zn4 0.8692 0.7500 0.6309
Rh1 0.0251 0.7500 0.3230
Rh2 0.1771 0.7500 0.9752
Rh3 0.3229 0.2500 0.4752
Rh4 0.4749 0.2500 0.8230
Rh5 0.5251 0.7500 0.1770
Rh6 0.6771 0.7500 0.5248
Rh7 0.8229 0.2500 0.0248
Rh8 0.9749 0.2500 0.6770